BaLiH6Pd2: optimized geometry, PBE.

Lattice parameters (Å, degrees): 9.8790 9.6942 5.3084 90.00 105.18 90.00
Last column: nearest neighbours and their distance in Å.
Space group C2/c (No. 15)
Inequivalent atoms, fractional coordinates:
Ba (0.0000, 0.1481, 0.2500) [4 per cell]  8 H 2.61-2.86
Li (0.0000, 0.4844, 0.7500) [4 per cell]  4 H 1.83-1.92
H (0.0572, 0.3767, 0.0415) [8 per cell]  1 Pd 1.69, 1 Li 1.83
H (0.0943, 0.1315, 0.8054) [8 per cell]  1 Pd 1.64, 1 H 1.80
H (0.2422, 0.4866, 0.3756) [8 per cell]  2 Pd 1.72-1.78
Pd (0.2343, 0.3831, 0.1087) [8 per cell]  4 H 1.64-1.78

Values from the calculation:
crystal system = monoclinic
magnetization = 0.00 μB/f.u.

---

Ba2LiH12Pd3: optimized geometry, PBE.

Lattice parameters (Å, degrees): 6.7336 6.7336 14.8717 90.00 90.00 120.00
Last column: nearest neighbours and their distance in Å.
Space group R-3m (No. 166, hexagonal axes)
Inequivalent atoms, fractional coordinates:
Ba (0.0000, 0.0000, 0.1200) [6 per cell]  6 H 2.58-2.88
Li (0.0000, 0.0000, 0.5000) [3 per cell]  6 H 1.97
H (0.0254, 0.5127, 0.1120) [18 per cell]  1 Pd 1.67
H (0.0734, 0.5367, 0.3431) [18 per cell]  2 Pd 1.77-1.78
Pd (0.0000, 0.5000, 0.0000) [9 per cell]  6 H 1.67-1.78

Values from the calculation:
crystal system = trigonal
magnetization = 0.00 μB/f.u.

---

Ba2LiHPt: optimized geometry, PBE.

Lattice parameters (Å, degrees): 7.2857 4.3534 8.7638 90.00 110.31 90.00
Last column: nearest neighbours and their distance in Å.
Space group P2_1/m (No. 11)
Inequivalent atoms, fractional coordinates:
Ba (0.1857, 0.2500, 0.4137) [2 per cell]  2 H 3.03, 1 Li 3.18, 2 Pt 3.30
Ba (0.2380, 0.2500, 0.9492) [2 per cell]  3 H 2.78-3.06
Li (0.4435, 0.7500, 0.2591) [2 per cell]  1 H 1.88
H (0.1681, 0.7500, 0.1685) [2 per cell]  1 Li 1.88
Pt (0.3358, 0.7500, 0.7141) [2 per cell]  2 Li 2.67

Values from the calculation:
crystal system = monoclinic
magnetization = 0.00 μB/f.u.

---

Ba2LiHPt: optimized geometry, PBE.

Lattice parameters (Å, degrees): 5.4675 5.4675 4.1584 90.00 90.00 90.00
Last column: nearest neighbours and their distance in Å.
Space group P4/mmm (No. 123)
Inequivalent atoms, fractional coordinates:
Ba (0.0000, 0.5000, 0.0000) [2 per cell]  2 H 2.73
Li (0.0000, 0.0000, 0.5000) [1 per cell]  2 H 2.08
H (0.0000, 0.0000, 0.0000) [1 per cell]  2 Li 2.08
Pt (0.5000, 0.5000, 0.5000) [1 per cell]  8 Ba 3.43

Values from the calculation:
crystal system = tetragonal
magnetization = 0.00 μB/f.u.

---

Ba2LiHPt: optimized geometry, PBE.

Lattice parameters (Å, degrees): 5.8077 5.8077 3.8514 90.00 90.00 90.00
Last column: nearest neighbours and their distance in Å.
Space group P4/mmm (No. 123)
Inequivalent atoms, fractional coordinates:
Ba (0.0000, 0.5000, 0.0000) [2 per cell]  2 H 2.90
Li (0.0000, 0.0000, 0.5000) [1 per cell]  8 Ba 3.48, 2 Li 3.85
H (0.5000, 0.5000, 0.0000) [1 per cell]  2 Pt 1.93
Pt (0.5000, 0.5000, 0.5000) [1 per cell]  2 H 1.93

Values from the calculation:
crystal system = tetragonal
magnetization = 0.00 μB/f.u.

---

Ba2LiH6Pt: optimized geometry, PBE.

Lattice parameters (Å, degrees): 5.7510 5.7510 28.7354 90.00 90.00 120.00
Last column: nearest neighbours and their distance in Å.
Space group R-3m (No. 166, hexagonal axes)
Inequivalent atoms, fractional coordinates:
Ba (0.0000, 0.0000, 0.1244) [6 per cell]  12 H 2.89-2.95
Ba (0.0000, 0.0000, 0.2928) [6 per cell]  12 H 2.88-3.18
Li (0.0000, 0.0000, 0.4112) [6 per cell]  6 H 2.08-2.15
H (0.0320, 0.5160, 0.7043) [18 per cell]  1 Pt 1.85
H (0.0429, 0.5214, 0.1297) [18 per cell]  1 Pt 1.79
Pt (0.0000, 0.0000, 0.0000) [3 per cell]  6 H 1.85
Pt (0.0000, 0.0000, 0.5000) [3 per cell]  6 H 1.79

Values from the calculation:
crystal system = trigonal
magnetization = 0.00 μB/f.u.

---

Ba2Li3PuH12: optimized geometry, PBE.

Lattice parameters (Å, degrees): 6.6887 6.6887 15.6757 90.00 90.00 120.00
Last column: nearest neighbours and their distance in Å.
Space group R-3m (No. 166, hexagonal axes)
Inequivalent atoms, fractional coordinates:
Ba (0.0000, 0.0000, 0.1088) [6 per cell]  6 H 2.43-2.63
Li (0.0000, 0.5000, 0.0000) [9 per cell]  6 H 1.92-1.94
Pu (0.0000, 0.0000, 0.5000) [3 per cell]  12 H 2.12-2.24
H (0.0141, 0.5071, 0.8764) [18 per cell]  1 Li 1.94, 2 H 2.09, 1 Pu 2.12
H (0.0958, 0.5479, 0.2797) [18 per cell]  2 Li 1.92, 2 H 2.09

Values from the calculation:
crystal system = trigonal
magnetization = 2.99 μB/f.u.

---

RbBa2LiH: optimized geometry, PBE.

Lattice parameters (Å, degrees): 5.8075 5.8075 6.2312 90.00 90.00 90.00
Last column: nearest neighbours and their distance in Å.
Space group P4/mmm (No. 123)
Inequivalent atoms, fractional coordinates:
Rb (0.0000, 0.0000, 0.0000) [1 per cell]  2 H 3.12
Ba (0.0000, 0.5000, 0.5000) [2 per cell]  2 H 2.90
Li (0.5000, 0.5000, 0.0000) [1 per cell]  4 Rb 4.11, 8 Ba 4.26
H (0.0000, 0.0000, 0.5000) [1 per cell]  4 Ba 2.90, 2 Rb 3.12

Values from the calculation:
crystal system = tetragonal
magnetization = 0.00 μB/f.u.

---

RbBaLiH4: optimized geometry, PBE.

Lattice parameters (Å, degrees): 5.7430 14.3443 5.7051 90.00 90.00 90.00
Last column: nearest neighbours and their distance in Å.
Space group Cmcm (No. 63)
Inequivalent atoms, fractional coordinates:
Rb (0.0000, 0.1032, 0.2500) [4 per cell]  9 H 2.85-2.93
Ba (0.0000, 0.3746, 0.2500) [4 per cell]  9 H 2.70-2.96
Li (0.0000, 0.2385, 0.7500) [4 per cell]  5 H 1.97-2.03
H (0.0000, 0.1012, 0.7500) [4 per cell]  1 Li 1.97
H (0.0000, 0.4304, 0.7500) [4 per cell]  1 Li 2.75, 3 Ba 2.80-2.96, 2 Rb 2.91
H (0.2500, 0.2500, 0.0000) [8 per cell]  2 Li 2.03

Values from the calculation:
crystal system = orthorhombic
magnetization = 0.00 μB/f.u.

---

Ba2LiHRh: optimized geometry, PBE.

Lattice parameters (Å, degrees): 5.3958 5.3958 4.1798 90.00 90.00 90.00
Last column: nearest neighbours and their distance in Å.
Space group P4/mmm (No. 123)
Inequivalent atoms, fractional coordinates:
Ba (0.0000, 0.5000, 0.0000) [2 per cell]  2 H 2.70
Li (0.0000, 0.0000, 0.5000) [1 per cell]  2 H 2.09
H (0.0000, 0.0000, 0.0000) [1 per cell]  2 Li 2.09
Rh (0.5000, 0.5000, 0.5000) [1 per cell]  8 Ba 3.41, 4 Li 3.82

Values from the calculation:
crystal system = tetragonal
magnetization = 0.00 μB/f.u.

---

Ba2LiH6Rh: optimized geometry, PBE.

Lattice parameters (Å, degrees): 5.6958 5.6958 4.9311 90.00 90.00 120.00
Last column: nearest neighbours and their distance in Å.
Space group P-3m1 (No. 164)
Inequivalent atoms, fractional coordinates:
Ba (0.3333, 0.6667, 0.2635) [2 per cell]  9 H 2.86-2.88
Li (0.0000, 0.0000, 0.0000) [1 per cell]  6 H 2.03
H (0.1462, 0.2925, 0.7114) [6 per cell]  1 Rh 1.78
Rh (0.0000, 0.0000, 0.5000) [1 per cell]  6 H 1.78

Values from the calculation:
crystal system = trigonal
magnetization = 0.00 μB/f.u.

---

Ba2LiH12Rh3: optimized geometry, PBE.

Lattice parameters (Å, degrees): 6.4710 6.4710 15.2008 90.00 90.00 120.00
Last column: nearest neighbours and their distance in Å.
Space group R-3m (No. 166, hexagonal axes)
Inequivalent atoms, fractional coordinates:
Ba (0.0000, 0.0000, 0.1215) [6 per cell]  6 H 2.56-2.77
Li (0.0000, 0.0000, 0.5000) [3 per cell]  6 H 1.92
H (0.0281, 0.5141, 0.1092) [18 per cell]  1 Rh 1.67
H (0.0555, 0.5278, 0.3425) [18 per cell]  2 Rh 1.74
Rh (0.0000, 0.5000, 0.0000) [9 per cell]  6 H 1.67-1.74

Values from the calculation:
crystal system = trigonal
magnetization = 0.00 μB/f.u.

---

no.,electronic total energy (eV for the cell shown),density (kg/m3)
1,-149.3,4916
2,-201.1,5229
3,-35.0,6086
4,-17.2,6381
5,-16.8,6106
6,-218.0,5843
7,-206.6,4524
8,-10.1,2908
9,-83.5,3304
10,-17.1,5260
11,-38.0,4681
12,-225.2,5444